Entry from Alexandria: an optimized crystal structure of CaCr2W (PBE).

Summary:
calculated density: 8.2 g/cm3
calculated formation energy: 0.8197 eV/atom
V: 16.542 Å³/atom
Fermi-level density of states: 4.11 states/eV/f.u.

abc: 9.107 9.107 9.107
angles: 18.46 18.46 18.46
Positions (direct):
W 0.514 0.514 0.514
Ca 0.747 0.747 0.747
Cr 0.982 0.982 0.982
Cr 0.257 0.257 0.257